(1)
Material: TaCoPb2O6
Method: DFT, PBE+U
State: optimized geometry

Lattice parameters (Å, degrees): 5.5907 5.5907 5.5906 120.00 120.00 90.00
Positions (direct):
O: 0.7530 0.2470 0.9994
O: 0.2465 0.2470 0.9995
O: 0.7531 0.7536 0.9997
O: 0.7532 0.7538 0.5063
O: 0.2465 0.2470 0.4931
O: 0.2465 0.7535 0.9994
Ta: 0.4999 0.5004 0.9998
Pb: 0.7502 0.2506 0.5005
Pb: 0.2502 0.7507 0.5005
Co: 0.9999 0.0004 0.9997

(2)
Material: Co2TcPbO
Method: DFT, PBE+U
State: optimized geometry

Lattice parameters (Å, degrees): 3.8952 5.0537 3.8952 90.00 90.00 90.00
Positions (direct):
Co: 0.5000 0.0000 0.0000
Co: 0.0000 0.0000 0.5000
Tc: 0.5000 0.5000 0.5000
Pb: 0.0000 0.5000 0.0000
O: 0.0000 0.0000 0.0000

(3)
Material: CoTc2PbO8
Method: DFT, PBE+U
State: optimized geometry

Lattice parameters (Å, degrees): 5.3499 5.3499 7.3781 88.52 88.52 67.03
Positions (direct):
Tc: 0.3615 0.3615 0.7776
Tc: 0.6385 0.6385 0.2224
O: 0.2720 0.7813 0.2107
O: 0.2187 0.7280 0.7893
O: 0.7280 0.2187 0.7893
O: 0.7795 0.7795 0.0487
O: 0.2778 0.2778 0.5624
O: 0.7222 0.7222 0.4376
O: 0.2205 0.2205 0.9513
O: 0.7813 0.2720 0.2107
Co: 0.0000 0.0000 0.0000
Pb: 0.0000 0.0000 0.5000

(4)
Material: Co9Te5Pb6O30
Method: DFT, PBE+U
State: optimized geometry

Lattice parameters (Å, degrees): 10.5439 10.5439 13.7968 90.00 90.00 120.00
Positions (direct):
O: 0.6615 0.6725 0.3281
O: 0.0097 0.8299 0.3270
O: 0.5170 0.6755 0.1682
O: 0.3299 0.5013 0.6617
O: 0.8299 0.0097 0.6730
O: 0.5013 0.3299 0.3383
O: 0.8299 0.8202 0.8270
O: 0.6725 0.6615 0.6719
O: 0.6701 0.4987 0.1617
O: 0.3385 0.3275 0.8281
O: 0.1798 0.0097 0.8270
O: 0.8209 0.3494 0.4978
O: 0.0110 0.6725 0.1719
O: 0.3275 0.3385 0.1719
O: 0.6615 0.9890 0.1719
O: 0.6755 0.1586 0.6682
O: 0.4830 0.1586 0.8318
O: 0.1701 0.1798 0.3270
O: 0.1586 0.6755 0.3318
O: 0.5285 0.1791 0.4978
O: 0.4987 0.6701 0.8383
O: 0.3299 0.8286 0.8383
O: 0.5170 0.8414 0.3318
O: 0.8202 0.9903 0.3270
O: 0.1714 0.6701 0.6617
O: 0.9890 0.6615 0.8281
O: 0.9903 0.1701 0.8270
O: 0.8414 0.3245 0.8318
O: 0.1791 0.6506 0.9978
O: 0.3245 0.8414 0.1682
O: 0.5285 0.3494 0.0022
O: 0.8414 0.5170 0.6682
O: 0.5013 0.1714 0.1617
O: 0.3275 0.9890 0.3281
O: 0.3494 0.5285 0.9978
O: 0.3494 0.8209 0.5022
O: 0.1791 0.5285 0.5022
O: 0.3385 0.0110 0.6719
O: 0.6506 0.1791 0.0022
O: 0.0097 0.1798 0.1730
O: 0.1701 0.9903 0.1730
O: 0.6725 0.0110 0.8281
O: 0.9903 0.8202 0.6730
O: 0.8209 0.4715 0.0022
O: 0.8286 0.3299 0.1617
O: 0.4987 0.8286 0.6617
O: 0.1714 0.5013 0.8383
O: 0.4715 0.6506 0.5022
O: 0.4830 0.3245 0.6682
O: 0.6701 0.1714 0.3383
O: 0.4715 0.8209 0.9978
O: 0.8286 0.4987 0.3383
O: 0.1798 0.1701 0.6730
O: 0.8202 0.8299 0.1730
O: 0.9890 0.3275 0.6719
O: 0.6506 0.4715 0.4978
O: 0.1586 0.4830 0.1682
O: 0.3245 0.4830 0.3318
O: 0.6755 0.5170 0.8318
O: 0.0110 0.3385 0.3281
Co: 0.3333 0.6667 0.1158
Co: 0.6667 0.3333 0.6158
Co: 0.3333 0.6667 0.3842
Co: 0.4958 0.5042 0.7500
Co: 0.3392 0.1696 0.2500
Co: 0.6667 0.3333 0.8842
Co: 0.1696 0.3392 0.7500
Co: 0.0085 0.5042 0.7500
Co: 0.5042 0.4958 0.2500
Co: 0.0000 0.0000 0.7500
Co: 0.1696 0.8304 0.7500
Co: 0.6608 0.8304 0.7500
Co: 0.9915 0.4958 0.2500
Co: 0.5042 0.0085 0.2500
Co: 0.4958 0.9915 0.7500
Co: 0.8304 0.1696 0.2500
Co: 0.8304 0.6608 0.2500
Co: 0.0000 0.0000 0.2500
Pb: 0.2708 0.2708 0.0000
Pb: 0.6125 0.0000 0.5000
Pb: 0.0000 0.7292 0.0000
Pb: 0.0000 0.6125 0.5000
Pb: 0.2708 0.0000 0.5000
Pb: 0.3875 0.3875 0.5000
Pb: 0.0000 0.3875 0.0000
Pb: 0.6125 0.6125 0.0000
Pb: 0.7292 0.0000 0.0000
Pb: 0.3875 0.0000 0.0000
Pb: 0.7292 0.7292 0.5000
Pb: 0.0000 0.2708 0.5000
Te: 0.6653 0.8327 0.2500
Te: 0.1673 0.3347 0.2500
Te: 0.3347 0.1673 0.7500
Te: 0.3333 0.6667 0.9034
Te: 0.6667 0.3333 0.4034
Te: 0.6667 0.3333 0.0966
Te: 0.1673 0.8327 0.2500
Te: 0.3333 0.6667 0.5966
Te: 0.8327 0.6653 0.7500
Te: 0.8327 0.1673 0.7500

(5)
Material: Co2TePbO8
Method: DFT, PBE+U
State: optimized geometry

Lattice parameters (Å, degrees): 5.2916 5.2916 7.1371 90.00 90.00 120.00
Positions (direct):
O: 0.0306 0.3036 0.6687
O: 0.2730 0.9694 0.6687
O: 0.3333 0.6667 0.9713
O: 0.6964 0.7270 0.6687
O: 0.7270 0.0306 0.3313
O: 0.3036 0.2730 0.3313
O: 0.9694 0.6964 0.3313
O: 0.6667 0.3333 0.0287
Co: 0.3333 0.6667 0.7305
Co: 0.6667 0.3333 0.2695
Pb: 0.0000 0.0000 0.0000
Te: 0.0000 0.0000 0.5000

(6)
Material: CoTe2PbO6
Method: DFT, PBE+U
State: optimized geometry

Lattice parameters (Å, degrees): 6.1781 8.1103 8.1103 110.66 84.39 84.39
Positions (direct):
O: 0.9492 0.3748 0.7900
O: 0.5508 0.2100 0.6252
O: 0.9702 0.2533 0.1355
O: 0.0298 0.7467 0.8645
O: 0.0508 0.6252 0.2100
O: 0.6284 0.6671 0.0231
O: 0.1284 0.0231 0.6671
O: 0.4492 0.7900 0.3748
O: 0.8716 0.9769 0.3329
O: 0.3716 0.3329 0.9769
O: 0.5298 0.8645 0.7467
O: 0.4702 0.1355 0.2533
Te: 0.8088 0.6026 0.7994
Te: 0.3088 0.7994 0.6026
Te: 0.1912 0.3974 0.2006
Te: 0.6912 0.2006 0.3974
Pb: 0.2500 0.8582 0.1418
Pb: 0.7500 0.1418 0.8582
Co: 0.2500 0.2523 0.7477
Co: 0.7500 0.7477 0.2523

(7)
Material: CoTe2Pb3O9
Method: DFT, PBE+U
State: optimized geometry

Lattice parameters (Å, degrees): 5.8346 5.8346 7.1789 90.00 90.00 120.00
Positions (direct):
O: 0.8281 0.6561 0.6652
O: 0.3439 0.1719 0.6652
O: 0.1719 0.8281 0.3348
O: 0.1719 0.3439 0.3348
O: 0.5000 0.5000 0.0000
O: 0.6561 0.8281 0.3348
O: 0.5000 0.0000 0.0000
O: 0.8281 0.1719 0.6652
O: 0.0000 0.5000 0.0000
Co: 0.0000 0.0000 0.5000
Pb: 0.6667 0.3333 0.3558
Pb: 0.0000 0.0000 0.0000
Pb: 0.3333 0.6667 0.6442
Te: 0.3333 0.6667 0.1757
Te: 0.6667 0.3333 0.8243

(8)
Material: UCoPbO5
Method: DFT, PBE+U
State: optimized geometry

Lattice parameters (Å, degrees): 6.0896 6.0896 8.1239 105.05 105.05 106.98
Positions (direct):
O: 0.6488 0.7595 0.9087
O: 0.7595 0.6488 0.4087
O: 0.3512 0.2405 0.0913
O: 0.9255 0.0745 0.7500
O: 0.2985 0.8999 0.6036
O: 0.1001 0.7015 0.8964
O: 0.2405 0.3512 0.5913
O: 0.7015 0.1001 0.3964
O: 0.0745 0.9255 0.2500
O: 0.8999 0.2985 0.1036
Pb: 0.6770 0.3230 0.7500
Pb: 0.3230 0.6770 0.2500
U: 0.0000 0.0000 0.5000
U: 0.0000 0.0000 0.0000
Co: 0.3115 0.6885 0.7500
Co: 0.6885 0.3115 0.2500

Number 1: final energy -7.045 eV/atom, V 12.355 Å³ per atom. Number 2: final energy -5.412 eV/atom, V 15.336 Å³ per atom. Number 3: final energy -7.029 eV/atom, V 16.194 Å³ per atom. Number 4: final energy -5.729 eV/atom, V 13.284 Å³ per atom. Number 5: final energy -5.443 eV/atom, V 14.423 Å³ per atom. Number 6: final energy -5.532 eV/atom, V 18.729 Å³ per atom. Number 7: final energy -5.478 eV/atom, V 14.110 Å³ per atom. Number 8: final energy -7.734 eV/atom, V 16.201 Å³ per atom.